! PBE-GGA CdAgTe2, optimized geometry; values from VASP
! - Magnetic moment: 0.00 μB per cell
! - ΔE_f (raw): 1.0 eV/f.u.
! - SG: F-43m, No. 216
&SYSTEM
  ibrav = 0, nat = 16, ntyp = 3
/
ATOMIC_SPECIES
Cd 112.41 Cd.upf
Ag 107.87 Ag.upf
Te 127.60 Te.upf
ATOMIC_POSITIONS crystal
Cd 0.0000 0.0000 0.0000
Cd 0.0000 0.5000 0.5000
Cd 0.5000 0.0000 0.5000
Cd 0.5000 0.5000 0.0000
Ag 0.2500 0.2500 0.2500
Ag 0.2500 0.7500 0.7500
Ag 0.7500 0.2500 0.7500
Ag 0.7500 0.7500 0.2500
Te 0.0000 0.0000 0.5000
Te 0.0000 0.5000 0.0000
Te 0.2500 0.2500 0.7500
Te 0.2500 0.7500 0.2500
Te 0.5000 0.0000 0.0000
Te 0.5000 0.5000 0.5000
Te 0.7500 0.2500 0.2500
Te 0.7500 0.7500 0.7500
CELL_PARAMETERS angstrom
7.4394 0.0000 0.0000
0.0000 7.4394 0.0000
0.0000 0.0000 7.4394